Density functional theory data (PBE) for CaPtW2 after structural relaxation.

Values from the calculation:
SG: No. 10
formation enthalpy at 0 K: 0.380 eV/atom
uncorrected energy: -8.107 eV/atom
energy relative to the lowest polymorph listed for this composition: 210 meV per atom
density of states at the Fermi level: 2.840 states/eV/f.u.

Cell: 5.1579 2.7932 5.0177 Å, 84.89 90.00 90.00°
Last column: nearest neighbours and their distance in Å.
Element x y z (fractional)
Ca (0.5000, 0.2500, 0.2500)  4 Pt 2.76-2.98, 2 Ca 2.79, 4 W 3.04
Pt (0.5000, 0.7500, 0.7500)  4 Ca 2.76-2.98, 2 Pt 2.79, 4 W 2.93
W (0.0000, 0.5691, 0.5005)  4 W 2.62-2.79, 2 Pt 2.93
W (0.0000, 0.9309, 0.9995)  4 W 2.62-2.79, 2 Pt 2.93